Material: BaPIr2
Method: DFT, PBE
State: relaxed

DFT total energy in eV per cell: -22.05
Space-group type: I4/mmm (139)

Unit cell a=5.0676 b=5.0676 c=5.0676 alpha=128.36 beta=128.36 gamma=76.04
Fractional coordinates of all 4 atoms:
Ba (0.0000, 0.0000, 0.0000)
P (0.5000, 0.5000, 0.0000)
Ir (0.2500, 0.7500, 0.5000)
Ir (0.7500, 0.2500, 0.5000)



Material: BaPIr2
Method: DFT, PBE
State: relaxed

DFT total energy in eV per cell: -26.24
Space-group type: Cm (8)

Unit cell a=4.7605 b=4.7605 c=5.9092 alpha=107.26 beta=107.26 gamma=46.51
Fractional coordinates of all 4 atoms:
Ba (0.0000, 0.0000, 0.0000)
P (0.7947, 0.7947, 0.4088)
Ir (0.2063, 0.2063, 0.5731)
Ir (0.4869, 0.4869, 0.5010)



Material: BaPIr2
Method: DFT, PBE
State: relaxed

DFT total energy in eV per cell: -21.81
Space-group type: F-43m (216)

Unit cell a=4.8290 b=4.8290 c=4.8290 alpha=60.00 beta=60.00 gamma=60.00
Fractional coordinates of all 4 atoms:
Ba (0.0000, 0.0000, 0.0000)
P (0.7500, 0.7500, 0.7500)
Ir (0.2500, 0.2500, 0.2500)
Ir (0.5000, 0.5000, 0.5000)



Material: BaPIr2
Method: DFT, PBE
State: relaxed

DFT total energy in eV per cell: -22.24
Space-group type: P4/mmm (123)

Unit cell a=4.2934 b=4.2934 c=4.2910 alpha=90.00 beta=90.00 gamma=90.00
Fractional coordinates of all 4 atoms:
Ba (0.0000, 0.0000, 0.0000)
P (0.5000, 0.5000, 0.0000)
Ir (0.0000, 0.5000, 0.5000)
Ir (0.5000, 0.0000, 0.5000)